Compound: ZrScTlZn
Source: Alexandria via LeMat-Bulk
Functional: PBE
Structure: relaxed

Calculated values
ΔE_f: -233 meV/atom
SG: P4mm, No. 99
crystal system: tetragonal
E_tot: -19.5 eV for the cell shown
calculated volume: 83 Å³ per cell
energy above the most stable polymorph in this dataset: 0 meV/atom

Structure (POSCAR):
```
ZrScTlZn
1.0
-2.658 2.140 -0.064
-1.802 -2.291 -1.776
-2.423 -2.826 6.105
Zn Tl Zr Sc
1 1 1 1
direct
0.500 0.500 0.103 Zn
0.500 0.500 0.613 Tl
0.000 0.000 0.334 Zr
0.000 0.000 0.878 Sc
```



Compound: ScHgB
Source: Alexandria via LeMat-Bulk
Functional: PBE
Structure: relaxed

Calculated values
ΔE_f: 241 meV/atom
SG: P4/nmm, No. 129
crystal system: tetragonal
E_tot: -25.2 eV for the cell shown
calculated volume: 107 Å³ per cell
energy above the most stable polymorph in this dataset: 753 meV/atom

Structure (POSCAR):
```
ScHgB
1.0
4.152 0.000 0.000
0.000 4.152 0.000
0.000 0.000 6.230
B Sc Hg
2 2 2
direct
0.000 0.000 0.500 B
0.500 0.500 0.500 B
0.000 0.500 0.319 Sc
0.500 0.000 0.681 Sc
0.500 0.000 0.156 Hg
0.000 0.500 0.844 Hg
```



Compound: MnZnSeBr2
Source: Alexandria via LeMat-Bulk
Functional: PBE
Structure: relaxed

Calculated values
formation energy (no corrections): 0.1064 eV per atom
SG: P4/mmm, No. 123
crystal system: tetragonal
E_tot: -16.7 eV for the cell shown
calculated volume: 131 Å³ per cell
energy above the most stable polymorph in this dataset: 0 meV/atom

Structure (POSCAR):
```
MnZnSeBr2
1.0
-0.144 4.367 2.419
-4.834 -0.728 1.027
1.313 -2.428 4.461
Mn Se Br Zn
1 1 2 1
direct
0.500 0.500 0.500 Mn
0.000 0.000 0.500 Se
0.000 0.500 0.000 Br
0.500 0.000 0.000 Br
0.000 0.000 0.000 Zn
```



Compound: BeAg2Mo
Source: Alexandria via LeMat-Bulk
Functional: PBE
Structure: relaxed

Calculated values
ΔE_f: 454 meV/atom
SG: Immm, No. 71
crystal system: orthorhombic
E_tot: -18.4 eV for the cell shown
calculated volume: 60 Å³ per cell

Structure (POSCAR):
```
BeAg2Mo
1.0
5.485 -0.016 0.015
4.823 2.612 0.015
1.914 0.482 4.152
Mo Ag Be
1 2 1
direct
0.750 0.750 0.750 Mo
0.962 0.962 0.038 Ag
0.538 0.538 0.462 Ag
0.250 0.250 0.250 Be
```



Compound: NaTeRuN2
Source: Alexandria via LeMat-Bulk
Functional: PBE
Structure: relaxed

Calculated values
formation energy (no corrections): 0.5896 eV per atom
SG: P4/mmm, No. 123
crystal system: tetragonal
E_tot: -27.4 eV for the cell shown
calculated volume: 87 Å³ per cell
energy above the most stable polymorph in this dataset: 0 meV/atom

Structure (POSCAR):
```
NaTeRuN2
1.0
-1.962 2.095 -2.645
-3.314 -0.624 1.965
0.929 4.751 3.075
N Na Te Ru
2 1 1 1
direct
0.000 0.500 0.000 N
0.500 0.000 0.000 N
0.500 0.500 0.500 Na
0.000 0.000 0.500 Te
0.000 0.000 0.000 Ru
```



Compound: La2In2Au
Source: Alexandria via LeMat-Bulk
Functional: PBE
Structure: relaxed

Calculated values
ΔE_f: -611 meV/atom
SG: C2/m, No. 12
crystal system: monoclinic
E_tot: -43.3 eV for the cell shown
calculated volume: 288 Å³ per cell
energy above the most stable polymorph in this dataset: 0 meV/atom

Structure (POSCAR):
```
La2In2Au
1.0
4.804 0.000 0.000
2.402 5.713 -0.361
2.402 0.279 10.464
La In Au
4 4 2
direct
0.935 0.249 0.882 La
0.682 0.305 0.331 La
0.065 0.751 0.118 La
0.318 0.695 0.669 La
0.909 0.736 0.445 In
0.091 0.264 0.555 In
0.358 0.174 0.110 In
0.642 0.826 0.890 In
0.388 0.891 0.334 Au
0.612 0.109 0.666 Au
```



Compound: Ca2TaSe
Source: Alexandria via LeMat-Bulk
Functional: PBE
Structure: relaxed

Calculated values
formation energy (no corrections): 0.3523 eV per atom
SG: I4/mmm, No. 139
crystal system: tetragonal
E_tot: -17.9 eV for the cell shown
calculated volume: 96 Å³ per cell

Structure (POSCAR):
```
Ca2TaSe
1.0
5.831 0.020 0.000
2.487 5.274 0.000
-4.159 -2.647 3.114
Ta Ca Se
1 2 1
direct
0.750 0.250 0.500 Ta
0.500 0.500 0.000 Ca
0.000 0.000 0.000 Ca
0.250 0.750 0.500 Se
```



Compound: ErSc3Cd4
Source: Alexandria via LeMat-Bulk
Functional: PBE
Structure: relaxed

Calculated values
ΔE_f: -292 meV/atom
SG: P4/mmm, No. 123
crystal system: tetragonal
E_tot: -59.1 eV for the cell shown
calculated volume: 368 Å³ per cell

Structure (POSCAR):
```
ErSc3Cd4
1.0
-1.287 4.822 -0.712
-5.169 -0.637 5.028
6.573 2.805 7.112
Sc Cd Er
6 8 2
direct
0.000 0.000 0.500 Sc
0.500 0.500 0.250 Sc
0.000 0.000 0.000 Sc
0.500 0.000 0.250 Sc
0.500 0.000 0.750 Sc
0.500 0.500 0.750 Sc
0.000 0.760 0.750 Cd
0.000 0.240 0.750 Cd
0.500 0.760 0.000 Cd
0.000 0.760 0.250 Cd
0.000 0.240 0.250 Cd
0.500 0.240 0.500 Cd
0.500 0.760 0.500 Cd
0.500 0.240 0.000 Cd
0.000 0.500 0.500 Er
0.000 0.500 0.000 Er
```



Compound: Gd4DyTm
Source: Alexandria via LeMat-Bulk
Functional: PBE
Structure: relaxed

Calculated values
ΔE_f: 256 meV/atom
SG: F-43m, No. 216
crystal system: cubic
E_tot: -63.9 eV for the cell shown
calculated volume: 199 Å³ per cell

Structure (POSCAR):
```
Gd4DyTm
1.0
-0.006 4.179 5.043
3.430 -1.385 5.405
5.398 3.427 1.421
Tm Gd Dy
1 4 1
direct
0.000 0.000 0.000 Tm
0.625 0.625 0.625 Gd
0.625 0.625 0.125 Gd
0.625 0.125 0.625 Gd
0.125 0.625 0.625 Gd
0.250 0.250 0.250 Dy
```



Compound: HfTh2SnN5
Source: Alexandria via LeMat-Bulk
Functional: PBE
Structure: relaxed

Calculated values
formation energy (no corrections): -1.1175 eV per atom
SG: Cmc2_1, No. 36
crystal system: orthorhombic
E_tot: -161.0 eV for the cell shown
calculated volume: 260 Å³ per cell

Structure (POSCAR):
```
HfTh2SnN5
1.0
3.425 0.000 0.000
-1.713 7.154 0.000
0.000 0.000 10.617
Th N Sn Hf
4 10 2 2
direct
0.138 0.275 0.280 Th
0.875 0.751 0.206 Th
0.862 0.725 0.780 Th
0.125 0.249 0.706 Th
0.498 0.996 0.779 N
0.502 0.004 0.279 N
0.368 0.736 0.017 N
0.717 0.433 0.147 N
0.298 0.596 0.365 N
0.933 0.865 0.555 N
0.702 0.404 0.865 N
0.632 0.264 0.517 N
0.283 0.567 0.647 N
0.067 0.135 0.055 N
0.515 0.031 0.975 Sn
0.485 0.969 0.475 Sn
0.222 0.444 0.001 Hf
0.778 0.556 0.501 Hf
```



Compound: LaMo2Br
Source: Alexandria via LeMat-Bulk
Functional: PBE
Structure: relaxed

Calculated values
formation energy (no corrections): 0.3240 eV per atom
SG: P2/m, No. 10
crystal system: monoclinic
E_tot: -27.0 eV for the cell shown
calculated volume: 98 Å³ per cell
energy above the most stable polymorph in this dataset: 354 meV/atom

Structure (POSCAR):
```
LaMo2Br
1.0
5.842 0.000 0.000
0.000 3.379 -0.001
0.000 -0.094 4.953
Br La Mo
1 1 2
direct
0.500 0.250 0.250 Br
0.500 0.750 0.750 La
0.000 0.493 0.577 Mo
0.000 0.007 0.923 Mo
```



Compound: NaZnPd
Source: Alexandria via LeMat-Bulk
Functional: PBE
Structure: relaxed

Calculated values
ΔE_f: -224 meV/atom
SG: I4mm, No. 107
crystal system: tetragonal
E_tot: -8.5 eV for the cell shown
calculated volume: 59 Å³ per cell
energy above the most stable polymorph in this dataset: 105 meV/atom

Structure (POSCAR):
```
NaZnPd
1.0
3.323 0.000 0.000
0.000 3.323 0.000
-1.661 -1.661 5.306
Zn Na Pd
1 1 1
direct
0.292 0.292 0.585 Zn
0.004 0.004 0.008 Na
0.704 0.704 0.407 Pd
```